(1)
NbCl3F2, optimized geometry, DFT PBE; magnetic moment = 0.006 Bohr magnetons per cell
1.0
-6.242 6.242 3.486
6.242 -6.242 3.486
6.242 6.242 -3.486
Nb Cl F
4 12 8
Cartesian
0.602 3.340 1.646 Nb
-2.902 5.639 1.841 Nb
2.902 6.844 1.841 Nb
-0.602 9.144 1.646 Nb
3.894 -0.524 0.585 Cl
3.629 3.954 -1.833 Cl
6.998 4.730 -1.849 Cl
8.590 0.524 0.585 Cl
6.766 -2.348 2.902 Cl
-0.757 1.511 1.637 Cl
2.613 2.288 1.653 Cl
8.530 3.629 1.833 Cl
5.718 2.348 2.902 Cl
4.730 5.485 1.849 Cl
1.511 0.757 5.336 Cl
-2.288 2.613 5.320 Cl
5.742 2.623 0.039 F
3.619 -0.500 3.448 F
2.623 6.741 -0.039 F
-1.067 4.612 1.710 F
1.629 5.174 1.777 F
0.500 3.619 3.525 F
-1.629 7.309 1.777 F
1.067 7.871 1.710 F

(2)
NbClF8, optimized geometry, DFT PBE; magnetic moment = 0.002 Bohr magnetons per cell
1.0
9.147 0.000 0.000
0.000 5.490 0.000
0.000 0.000 9.887
Nb Cl F
4 4 32
Cartesian
0.000 0.495 2.472 Nb
0.000 4.995 7.415 Nb
4.574 0.495 7.415 Nb
4.574 4.995 2.472 Nb
2.287 2.745 0.224 Cl
2.287 2.745 5.167 Cl
6.861 2.745 4.720 Cl
6.861 2.745 9.663 Cl
0.996 0.599 4.096 F
0.996 4.891 9.039 F
1.063 2.033 1.744 F
1.063 3.457 6.688 F
1.203 0.757 6.724 F
1.203 4.734 1.780 F
1.245 2.139 9.020 F
1.245 3.351 4.076 F
3.328 2.139 4.076 F
3.328 3.351 9.020 F
3.370 0.757 1.780 F
3.370 4.734 6.724 F
3.511 2.033 6.688 F
3.511 3.457 1.744 F
3.578 0.599 9.039 F
3.578 4.891 4.096 F
5.570 0.599 5.791 F
5.570 4.891 0.848 F
5.637 2.033 8.143 F
5.637 3.457 3.199 F
5.777 0.757 3.163 F
5.777 4.734 8.107 F
5.819 2.139 0.867 F
5.819 3.351 5.811 F
7.902 2.139 5.811 F
7.902 3.351 0.867 F
7.944 0.757 8.107 F
7.944 4.734 3.163 F
8.084 2.033 3.199 F
8.084 3.457 8.143 F
8.151 0.599 0.848 F
8.151 4.891 5.791 F

(3)
OsCl3F, optimized geometry, DFT PBE; magnetic moment = 3.980 Bohr magnetons per cell
1.0
7.464 0.000 0.000
0.000 3.572 0.000
0.000 0.000 8.364
Os Cl F
2 6 2
Cartesian
1.866 0.000 1.869 Os
5.598 0.000 6.495 Os
0.303 1.786 1.792 Cl
1.866 0.000 4.115 Cl
3.429 1.786 1.792 Cl
4.035 1.786 6.572 Cl
5.598 0.000 4.249 Cl
7.161 1.786 6.572 Cl
1.866 0.000 8.306 F
5.598 0.000 0.058 F

(4)
Compound: Rb2PdCl3F
Source: OQMD
Functional: PBE
Structure: optimized geometry

Cell and atoms, written as POSCAR:
```
Rb2PdCl3F
1.0
4.126 0.000 0.000
0.000 4.676 5.265
0.000 -4.676 5.265
Rb Pd Cl F
2 1 3 1
Cartesian
0.000 -2.633 5.265 Rb
0.000 2.633 5.265 Rb
2.063 0.000 2.647 Pd
2.063 2.346 7.886 Cl
2.063 0.000 4.937 Cl
2.063 -2.346 7.886 Cl
2.063 0.000 0.580 F
```

(5)
PmClF2, optimized geometry, DFT PBE; magnetic moment = 0.000 Bohr magnetons per cell
1.0
1.921 -4.944 0.000
1.921 4.944 0.000
0.000 0.000 6.994
Pm Cl F
2 2 4
Cartesian
1.921 2.603 5.246 Pm
1.921 -2.603 1.749 Pm
1.921 4.470 1.749 Cl
1.921 -4.470 5.246 Cl
1.921 1.736 0.456 F
1.921 1.736 3.042 F
1.921 -1.736 3.953 F
1.921 -1.736 6.539 F

(6)
Rb2PtCl3F, optimized geometry, DFT PBE; magnetic moment = 0.001 Bohr magnetons per cell
1.0
4.142 0.000 0.000
0.000 4.610 5.235
0.000 -4.610 5.235
Rb Pt Cl F
2 1 3 1
Cartesian
0.000 -2.593 5.235 Rb
0.000 2.593 5.235 Rb
2.071 0.000 2.632 Pt
2.071 0.000 4.918 Cl
2.071 -2.290 7.831 Cl
2.071 2.290 7.831 Cl
2.071 0.000 0.562 F

(7)
TmS2ClF, optimized geometry, DFT PBE; magnetic moment = 0.003 Bohr magnetons per cell
1.0
6.401 0.000 0.000
2.651 6.378 0.000
2.374 2.689 6.006
Tm S Cl F
2 4 2 2
Cartesian
1.451 0.973 0.000 Tm
7.600 5.404 0.000 Tm
3.879 5.899 4.282 S
5.361 5.985 5.614 S
6.064 3.081 0.392 S
7.546 3.168 1.723 S
5.997 6.582 1.685 Cl
5.428 2.484 4.321 Cl
2.254 2.834 4.747 F
9.171 6.233 1.259 F

(8)
TaCl3F2, optimized geometry, DFT PBE; magnetic moment = 0.006 Bohr magnetons per cell
1.0
-6.248 6.248 3.493
6.248 -6.248 3.493
6.248 6.248 -3.493
Ta Cl F
4 12 8
Cartesian
9.621 0.597 -0.092 Ta
0.597 2.875 0.092 Ta
5.651 3.373 3.585 Ta
-3.373 5.651 3.401 Ta
4.696 0.750 -0.111 Cl
5.728 3.891 -1.163 Cl
8.568 2.595 -0.088 Cl
2.595 3.927 0.088 Cl
5.498 -1.552 3.604 Cl
0.520 2.357 2.330 Cl
2.357 -0.520 4.655 Cl
0.750 7.799 0.111 Cl
3.653 2.320 3.580 Cl
3.891 6.768 1.163 Cl
-2.320 3.653 3.405 Cl
1.552 5.498 3.381 Cl
1.602 1.050 -0.029 F
5.198 -4.645 3.522 F
2.606 -0.497 1.776 F
3.642 6.745 -1.717 F
5.751 3.642 1.717 F
1.050 10.893 0.029 F
4.645 5.198 3.463 F
0.497 2.606 5.209 F

(9)
TaCl2F2, optimized geometry, DFT PBE; magnetic moment = 0.000 Bohr magnetons per cell
1.0
-3.289 3.711 3.744
3.289 -3.711 3.744
3.289 3.711 -3.744
Ta Cl F
2 4 4
Cartesian
1.449 0.000 0.000 Ta
5.128 0.000 0.000 Ta
3.289 0.000 1.679 Cl
0.000 0.000 1.934 Cl
0.000 0.000 5.553 Cl
0.000 3.711 2.064 Cl
1.533 1.892 0.000 F
1.756 -1.819 3.744 F
1.533 5.530 0.000 F
1.756 1.819 3.744 F

(10)
TaClF8, optimized geometry, DFT PBE; magnetic moment = 0.018 Bohr magnetons per cell
1.0
9.170 0.000 0.000
0.000 5.466 0.000
0.000 0.000 9.910
Ta Cl F
4 4 32
Cartesian
0.000 0.501 2.477 Ta
0.000 4.965 7.432 Ta
4.585 0.501 7.432 Ta
4.585 4.965 2.477 Ta
2.293 2.733 0.223 Cl
2.293 2.733 5.178 Cl
6.878 2.733 4.732 Cl
6.878 2.733 9.687 Cl
0.996 0.600 4.091 F
0.996 4.866 9.045 F
1.063 2.012 1.760 F
1.063 3.454 6.715 F
1.190 0.756 6.738 F
1.190 4.710 1.783 F
1.250 2.125 9.050 F
1.250 3.341 4.096 F
3.335 2.125 4.096 F
3.335 3.341 9.050 F
3.395 0.756 1.783 F
3.395 4.710 6.738 F
3.522 2.012 6.715 F
3.522 3.454 1.760 F
3.589 0.600 9.045 F
3.589 4.866 4.091 F
5.581 0.600 5.819 F
5.581 4.866 0.864 F
5.648 2.012 8.150 F
5.648 3.454 3.195 F
5.775 0.756 3.172 F
5.775 4.710 8.126 F
5.835 2.125 0.859 F
5.835 3.341 5.814 F
7.920 2.125 5.814 F
7.920 3.341 0.859 F
7.980 0.756 8.126 F
7.980 4.710 3.172 F
8.107 2.012 3.195 F
8.107 3.454 8.150 F
8.174 0.600 0.864 F
8.174 4.866 5.819 F

(11)
UCl2F, optimized geometry, DFT PBE; magnetic moment = 6.001 Bohr magnetons per cell
1.0
1.842 -6.166 0.000
1.842 6.166 0.000
0.000 0.000 8.386
U Cl F
2 4 2
Cartesian
1.842 3.163 6.290 U
1.842 -3.163 2.097 U
1.842 4.484 0.468 Cl
1.842 4.484 3.725 Cl
1.842 -4.484 4.661 Cl
1.842 -4.484 7.919 Cl
1.842 1.648 2.097 F
1.842 -1.648 6.290 F

(12)
FeCl, optimized geometry, DFT PBE; magnetic moment = 3.017 Bohr magnetons per cell
1.0
0.000 2.543 2.543
2.543 0.000 2.543
2.543 2.543 0.000
Fe Cl
1 1
Cartesian
0.000 0.000 0.000 Fe
2.543 2.543 2.543 Cl

Respective total energy values: -30.9, -46.6, -22.1, -25.5, -24.3, -26.1, -26.3, -33.6, -30.2, -49.8, -25.9, -9.5 eV/f.u..